# 1
VASP calculation (PBE+U) on an optimized crystal structure of V3CoO.

As for the space-group type: Pm-3m (221). The total magnetization is 1.46 μB per atom. For the total energy, the calculation gives -23.77 eV for the cell shown. The calculation puts the offset from the most stable computed form at 32.17 kcal/mol of atoms.

Lattice parameters (Å, degrees): 4.5526 4.5526 4.5526 90.00 90.00 90.00
Last column: magnetic moment on the atom in μB.
Element x y z (fractional)
1 Co 0.0000 0.0000 0.0000  -1.28
2 V 0.5000 0.0000 0.0000  2.56
3 V 0.0000 0.0000 0.5000  2.56
4 V 0.0000 0.5000 0.0000  2.56
5 O 0.5000 0.5000 0.5000  -0.08

***

# 2
VASP calculation (PBE+U) on an optimized crystal structure of VCo2O4.

As for the space-group type: C2/m (12). The total magnetization is 1.00 μB per atom. For the total energy, the calculation gives -47.37 eV for the cell shown.

Lattice parameters (Å, degrees): 3.0576 5.4890 5.1371 64.19 89.99 73.84
Last column: magnetic moment on the atom in μB.
Element x y z (fractional)
1 Co 0.6990 0.6015 0.6860  2.66
2 Co 0.3010 0.3985 0.3140  2.66
3 O 0.8784 0.2434 0.5943  0.07
4 O 0.3783 0.2437 0.0282  0.08
5 O 0.6217 0.7563 0.9718  0.08
6 O 0.1216 0.7566 0.4057  0.07
7 V 0.0000 0.0000 0.0000  1.19

***

# 3
VASP calculation (PBE+U) on an optimized crystal structure of VCoWO6.

As for the space-group type: P-31c (163). The total magnetization is 0.44 μB per atom. For the total energy, the calculation gives -129.63 eV for the cell shown.

Lattice parameters (Å, degrees): 5.0802 5.0802 9.0248 90.00 90.00 120.00
Last column: magnetic moment on the atom in μB.
Element x y z (fractional)
1 O 0.9977 0.6478 0.8672  -0.02
2 O 0.3499 0.3522 0.3672  -0.02
3 O 0.0023 0.3522 0.1328  -0.02
4 O 0.0023 0.6501 0.3672  -0.02
5 O 0.6501 0.6478 0.6328  -0.02
6 O 0.9977 0.3499 0.6328  -0.02
7 O 0.6501 0.0023 0.8672  -0.02
8 O 0.3522 0.3499 0.8672  -0.02
9 O 0.6478 0.9977 0.3672  -0.02
10 O 0.6478 0.6501 0.1328  -0.02
11 O 0.3499 0.9977 0.1328  -0.02
12 O 0.3522 0.0023 0.6328  -0.02
13 W 0.3333 0.6667 0.2500  0.08
14 W 0.6667 0.3333 0.7500  0.08
15 Co 0.0000 0.0000 0.5000  2.73
16 Co 0.0000 0.0000 0.0000  2.73
17 V 0.6667 0.3333 0.2500  1.21
18 V 0.3333 0.6667 0.7500  1.21

***

# 4
VASP calculation (PBE+U) on an optimized crystal structure of Y2VCoO6.

As for the space-group type: P2_1/c (14). The total magnetization is 0.20 μB per atom. For the total energy, the calculation gives -161.22 eV for the cell shown.

Lattice parameters (Å, degrees): 5.2436 5.6327 7.5287 90.00 89.81 90.00
Last column: magnetic moment on the atom in μB.
Element x y z (fractional)
1 O 0.8031 0.8094 0.9470  -0.01
2 O 0.3031 0.6906 0.4470  -0.01
3 O 0.3943 0.9628 0.7532  -0.03
4 O 0.1888 0.2012 0.4461  -0.02
5 O 0.8943 0.5372 0.2532  -0.03
6 O 0.8112 0.7988 0.5539  -0.02
7 O 0.1057 0.4628 0.7468  -0.03
8 O 0.3112 0.7012 0.0539  -0.02
9 O 0.1969 0.1906 0.0530  -0.01
10 O 0.6969 0.3094 0.5530  -0.01
11 O 0.6057 0.0372 0.2468  -0.03
12 O 0.6888 0.2988 0.9461  -0.02
13 V 0.0000 0.5000 0.0000  1.80
14 V 0.5000 0.0000 0.5000  1.80
15 Co 0.5000 0.0000 0.0000  0.22
16 Co 0.0000 0.5000 0.5000  0.22
17 Y 0.0209 0.9301 0.2502  0.00
18 Y 0.4791 0.4301 0.2498  0.00
19 Y 0.5209 0.5699 0.7502  0.00
20 Y 0.9791 0.0699 0.7498  0.00

***

# 5
VASP calculation (PBE+U) on an optimized crystal structure of Co2WO.

As for the space-group type: I-42d (122). The total magnetization is 0.34 μB per atom. For the total energy, the calculation gives -41.74 eV for the cell shown.

Lattice parameters (Å, degrees): 6.9256 6.9256 5.3711 49.86 49.86 90.00
Last column: magnetic moment on the atom in μB.
Element x y z (fractional)
1 Co 0.3750 0.4522 0.7500  2.04
2 Co 0.8750 0.7978 0.7500  2.09
3 Co 0.5478 0.1250 0.2500  2.02
4 Co 0.2022 0.6250 0.2500  2.02
5 O 0.5000 0.5000 0.0000  0.00
6 O 0.2500 0.7500 0.5000  0.00
7 W 0.0000 0.0000 0.0000  -2.45
8 W 0.7500 0.2500 0.5000  -2.44

***

# 6
VASP calculation (PBE+U) on an optimized crystal structure of CoWO3.

As for the space-group type: Pm-3m (221). The total magnetization is 0.60 μB per atom. For the total energy, the calculation gives -28.84 eV for the cell shown.

Lattice parameters (Å, degrees): 3.6820 3.6820 3.6820 90.00 90.00 90.00
Last column: magnetic moment on the atom in μB.
Element x y z (fractional)
1 O 0.0000 0.0000 0.5000  -0.04
2 O 0.0000 0.5000 0.0000  -0.10
3 O 0.5000 0.0000 0.0000  -0.12
4 Co 0.0000 0.0000 0.0000  0.38
5 W 0.5000 0.5000 0.5000  2.70

***

# 7
VASP calculation (PBE+U) on an optimized crystal structure of CoWO2.

As for the space-group type: R-3m (166). The total magnetization is 0.56 μB per atom. For the total energy, the calculation gives -25.21 eV for the cell shown. The calculation puts the offset from the most stable computed form at 2.21 kcal/mol of atoms.

Lattice parameters (Å, degrees): 6.8272 6.8272 6.8272 23.98 23.98 23.98
Last column: magnetic moment on the atom in μB.
Element x y z (fractional)
1 Co 0.0000 0.0000 0.0000  2.07
2 W 0.5000 0.5000 0.5000  0.16
3 O 0.9049 0.9049 0.9049  0.02
4 O 0.0951 0.0951 0.0951  0.02

***

# 8
VASP calculation (PBE+U) on an optimized crystal structure of CoWO2.

As for the space-group type: R-3m (166). The total magnetization is 0.76 μB per atom. For the total energy, the calculation gives -25.60 eV for the cell shown. The calculation puts the offset from the most stable computed form at 0.00 kcal/mol of atoms.

Lattice parameters (Å, degrees): 6.3339 6.3339 6.3339 27.69 27.69 27.69
Last column: magnetic moment on the atom in μB.
Element x y z (fractional)
1 Co 0.5000 0.5000 0.5000  2.70
2 O 0.1052 0.1052 0.1052  0.09
3 O 0.8948 0.8948 0.8948  0.09
4 W 0.0000 0.0000 0.0000  0.12

***

# 9
VASP calculation (PBE+U) on an optimized crystal structure of CoWO4.

As for the space-group type: P-42c (112). The total magnetization is 0.50 μB per atom. For the total energy, the calculation gives -82.47 eV for the cell shown.

Lattice parameters (Å, degrees): 4.7999 4.7999 8.9017 90.00 90.00 90.00
Last column: magnetic moment on the atom in μB.
Element x y z (fractional)
1 O 0.7284 0.7967 0.8712  0.04
2 O 0.7284 0.2033 0.6288  0.04
3 O 0.7967 0.2716 0.1288  0.04
4 O 0.7967 0.7284 0.3712  0.04
5 O 0.2716 0.7967 0.6288  0.04
6 O 0.2033 0.2716 0.3712  0.04
7 O 0.2033 0.7284 0.1288  0.04
8 O 0.2716 0.2033 0.8712  0.04
9 Co 0.0000 0.0000 0.0000  2.68
10 Co 0.0000 0.0000 0.5000  2.68
11 W 0.0000 0.5000 0.2500  0.07
12 W 0.5000 0.0000 0.7500  0.07

***

# 10
VASP calculation (PBE+U) on an optimized crystal structure of CoWO4.

As for the space-group type: Pnc2 (30). The total magnetization is 0.50 μB per atom. For the total energy, the calculation gives -84.20 eV for the cell shown.

Lattice parameters (Å, degrees): 4.6719 5.1651 5.7168 90.00 90.00 90.00
Last column: magnetic moment on the atom in μB.
Element x y z (fractional)
1 O 0.2402 0.8512 0.1180  0.02
2 O 0.2098 0.3086 0.8842  0.04
3 O 0.7402 0.1488 0.6180  0.02
4 O 0.7598 0.1488 0.1180  0.02
5 O 0.2902 0.3086 0.3842  0.04
6 O 0.2598 0.8512 0.6180  0.02
7 O 0.7902 0.6914 0.8842  0.04
8 O 0.7098 0.6914 0.3842  0.04
9 W 0.0000 0.0000 0.8324  0.10
10 W 0.5000 0.0000 0.3324  0.10
11 Co 0.5000 0.5000 0.6631  2.71
12 Co 0.0000 0.5000 0.1631  2.71